Entry 1:
Here is a relaxed structure of Ag2HF from the Alexandria database. Energies are from GGA-PBE.

a = 5.9130 Å, b = 5.9130 Å, c = 5.9130 Å
α = 90.00°, β = 90.00°, γ = 90.00°
Closest atoms and distances in Å follow each position.
Space group Fm-3m (No. 225)
Inequivalent atoms, fractional coordinates:
Ag: 0.2500 0.2500 0.2500  4 F 2.56, 4 H 2.56
H: 0.0000 0.0000 0.0000  8 Ag 2.56
F: 0.0000 0.0000 0.5000  8 Ag 2.56

Properties
The value obtained for the total energy is -46.02 eV per cell. The offset from the most stable computed form comes out at 341.5 meV/atom. The mass density comes out at 7.6 g cm⁻³. The spin magnetization comes out at 0.00 μB per cell.



Entry 2:
Here is a relaxed structure of AgH3F from the Alexandria database. Energies are from GGA-PBE.

a = 3.5121 Å, b = 3.5121 Å, c = 3.5121 Å
α = 90.00°, β = 90.00°, γ = 90.00°
Closest atoms and distances in Å follow each position.
Space group Pm-3m (No. 221)
Inequivalent atoms, fractional coordinates:
Ag: 0.0000 0.0000 0.0000  12 H 2.48
H: 0.0000 0.5000 0.5000  2 F 1.76
F: 0.5000 0.5000 0.5000  6 H 1.76

Properties
The value obtained for the total energy is -10.44 eV per cell. The offset from the most stable computed form comes out at 535.0 meV/atom. The mass density comes out at 5.0 g cm⁻³. The spin magnetization comes out at 1.06 μB per cell.



Entry 3:
Here is a relaxed structure of AgHg2HF6 from the Alexandria database. Energies are from GGA-PBE.

a = 6.1895 Å, b = 3.8943 Å, c = 12.7218 Å
α = 90.00°, β = 105.88°, γ = 90.00°
Closest atoms and distances in Å follow each position.
Space group P2_1/c (No. 14)
Inequivalent atoms, fractional coordinates:
Ag: 0.0000 0.0000 0.0000  4 F 2.34-2.58
Hg: 0.2759 0.2439 0.7881  6 F 2.31-2.47
H: 0.5000 0.0000 0.5000  2 F 1.15
F: 0.0679 0.7216 0.3408  2 Hg 2.31-2.42, 1 Ag 2.34
F: 0.3387 0.7352 0.6840  3 Hg 2.31-2.47
F: 0.3563 0.1966 0.4780  1 H 1.15

Properties
The value obtained for the total energy is -63.03 eV per cell. The mass density comes out at 7.0 g cm⁻³. The spin magnetization comes out at 0.07 μB per cell.



Entry 4:
Here is a relaxed structure of Ag2HI2F2 from the Alexandria database. Energies are from GGA-PBE.

a = 8.6421 Å, b = 3.7841 Å, c = 10.1514 Å
α = 90.00°, β = 94.42°, γ = 90.00°
Closest atoms and distances in Å follow each position.
Space group C2/m (No. 12)
Inequivalent atoms, fractional coordinates:
Ag: 0.1973 0.0000 0.3165  3 F 2.52-2.64
H: 0.0000 0.5000 0.5000  2 F 1.15
I: 0.1204 0.0000 0.8093  3 Ag 2.83-2.94
F: 0.1217 0.5000 0.4618  1 H 1.15

Properties
The value obtained for the total energy is -43.33 eV per cell. The mass density comes out at 5.1 g cm⁻³. The spin magnetization comes out at 0.00 μB per cell.



Entry 5:
Here is a relaxed structure of InAg2HF6 from the Alexandria database. Energies are from GGA-PBE.

a = 4.9223 Å, b = 4.5507 Å, c = 12.3550 Å
α = 90.00°, β = 102.91°, γ = 90.00°
Closest atoms and distances in Å follow each position.
Space group P2_1/c (No. 14)
Inequivalent atoms, fractional coordinates:
In: 0.0000 0.0000 0.0000  6 F 2.09-2.22
Ag: 0.2936 0.2279 0.7741  2 F 2.30-2.32
H: 0.5000 0.0000 0.5000  2 F 1.16
F: 0.1032 0.7236 0.3667  1 In 2.09, 1 Ag 2.32
F: 0.2448 0.7298 0.6331  1 In 2.09, 1 Ag 2.30
F: 0.3542 0.2029 0.4943  1 H 1.16

Properties
The value obtained for the total energy is -79.16 eV per cell. The mass density comes out at 5.5 g cm⁻³. The spin magnetization comes out at 0.00 μB per cell.



Entry 6:
Here is a relaxed structure of KAgH2F4 from the Alexandria database. Energies are from GGA-PBE.

a = 5.3780 Å, b = 5.8870 Å, c = 6.8064 Å
α = 90.00°, β = 90.00°, γ = 90.00°
Closest atoms and distances in Å follow each position.
Space group I222 (No. 23)
Inequivalent atoms, fractional coordinates:
K: 0.0000 0.0000 0.0000  8 F 2.75-2.79
Ag: 0.0000 0.0000 0.5000  4 F 2.45
H: 0.0000 0.5000 0.2156  2 F 1.15
F: 0.1635 0.3736 0.7831  1 H 1.15

Properties
The value obtained for the total energy is -65.15 eV per cell. The mass density comes out at 3.5 g cm⁻³. The spin magnetization comes out at 0.00 μB per cell.



Entry 7:
Here is a relaxed structure of K2AgHF6 from the Alexandria database. Energies are from GGA-PBE.

a = 6.4236 Å, b = 6.4236 Å, c = 7.4787 Å
α = 90.00°, β = 90.00°, γ = 90.00°
Closest atoms and distances in Å follow each position.
Space group I4/mmm (No. 139)
Inequivalent atoms, fractional coordinates:
K: 0.0000 0.5000 0.2500  12 F 2.96-3.29
Ag: 0.0000 0.0000 0.0000  4 F 1.97
H: 0.0000 0.0000 0.5000  2 F 1.16
F: 0.0000 0.0000 0.3449  1 H 1.16
F: 0.2164 0.2164 0.0000  1 Ag 1.97

Properties
The value obtained for the total energy is -77.39 eV per cell. The mass density comes out at 3.2 g cm⁻³. The spin magnetization comes out at 0.00 μB per cell.



Entry 8:
Here is a relaxed structure of KAg2HF8 from the Alexandria database. Energies are from GGA-PBE.

a = 6.4089 Å, b = 5.5418 Å, c = 10.0840 Å
α = 90.00°, β = 99.09°, γ = 90.00°
Closest atoms and distances in Å follow each position.
Space group C2/m (No. 12)
Inequivalent atoms, fractional coordinates:
K: 0.0000 0.0000 0.0000  2 F 2.55
Ag: 0.1787 0.5000 0.2854  6 F 1.99-2.12
H: 0.0000 0.5000 0.5000  2 F 1.16
F: 0.0717 0.2473 0.7255  2 Ag 2.12
F: 0.1476 0.5000 0.0863  1 Ag 1.99
F: 0.1773 0.5000 0.4898  1 H 1.16

Properties
The value obtained for the total energy is -83.97 eV per cell. The mass density comes out at 3.8 g cm⁻³. The spin magnetization comes out at 0.00 μB per cell.



Entry 9:
Here is a relaxed structure of K2AgH2F6 from the Alexandria database. Energies are from GGA-PBE.

a = 5.4049 Å, b = 5.4049 Å, c = 17.4690 Å
α = 90.00°, β = 90.00°, γ = 120.00°
Closest atoms and distances in Å follow each position.
Space group R-3m (No. 166, hexagonal axes)
Inequivalent atoms, fractional coordinates:
K: 0.0000 0.0000 0.2187  9 F 2.77-2.97
Ag: 0.0000 0.0000 0.0000  6 F 2.26
H: 0.0000 0.0000 0.4131  3 F 1.37
F: 0.0403 0.5202 0.2518  1 H 1.37

Properties
The value obtained for the total energy is -127.18 eV per cell. The mass density comes out at 3.4 g cm⁻³. The spin magnetization comes out at 3.10 μB per cell.



Entry 10:
Here is a relaxed structure of KAgH2F8 from the Alexandria database. Energies are from GGA-PBE.

a = 5.0703 Å, b = 5.0732 Å, c = 7.7087 Å
α = 81.28°, β = 80.81°, γ = 65.82°
Closest atoms and distances in Å follow each position.
Space group P-1 (No. 2)
Inequivalent atoms, fractional coordinates:
K: 0.0000 0.0000 0.0000  6 F 2.78-2.91
Ag: 0.0000 0.0000 0.5000  6 F 1.94-1.95
H: 0.2942 0.2928 0.2283  1 F 0.97
F: 0.2337 0.2310 0.4392  1 H 1.61
F: 0.2387 0.7577 0.3155  1 Ag 1.94
F: 0.2416 0.7601 0.6820  1 Ag 1.94
F: 0.3150 0.3120 0.1004  1 H 0.97

Properties
The value obtained for the total energy is -42.29 eV per cell. The mass density comes out at 2.8 g cm⁻³. The spin magnetization comes out at 0.00 μB per cell.